No. 1
Na2Ni3As2: optimized geometry, PBE.

abc: 7.8702 7.8702 7.8702
angles: 30.84 30.84 30.84
Positions (direct):
As (0.5166, 0.5166, 0.5166)
As (0.9944, 0.9944, 0.9944)
Na (0.2371, 0.2371, 0.2371)
Na (0.7623, 0.7623, 0.7623)
Ni (0.3489, 0.3489, 0.3489)
Ni (0.6307, 0.6307, 0.6307)
Ni (0.8851, 0.8851, 0.8851)

Output
- M_tot: 0.01 μB/cell
- V: 16.23 Å³ per atom
- Electronic total energy: -4.16 eV/atom

No. 2
GdMgZn: optimized geometry, PBE.

abc: 6.3827 6.5683 8.0606
angles: 90.16 91.60 56.14
Positions (direct):
Gd (0.8245, 0.6911, 0.0847)
Gd (0.5829, 0.2316, 0.5014)
Gd (0.0022, 0.3821, 0.5201)
Gd (0.1596, 0.8554, 0.7694)
Mg (0.3978, 0.5683, 0.1284)
Mg (0.9365, 0.1237, 0.1484)
Mg (0.4476, 0.8249, 0.4183)
Mg (0.3428, 0.2638, 0.8690)
Zn (0.3254, 0.1940, 0.1966)
Zn (0.0493, 0.7747, 0.4057)
Zn (0.6656, 0.8218, 0.7226)
Zn (0.7226, 0.4009, 0.8305)

Output
- M_tot: 0.03 μB/cell
- V: 23.37 Å³ per atom
- Electronic total energy: -2.65 eV/atom

No. 3
MgNbO3F: optimized geometry, PBE.

abc: 3.6917 6.4900 6.7051
angles: 67.00 87.85 83.89
Positions (direct):
F (0.1976, 0.1592, 0.2510)
F (0.8024, 0.8408, 0.7490)
Mg (0.6637, 0.3035, 0.2054)
Mg (0.3363, 0.6965, 0.7946)
Nb (0.2614, 0.8207, 0.2270)
Nb (0.7386, 0.1793, 0.7730)
O (0.3092, 0.5968, 0.1172)
O (0.7459, 0.9397, 0.1540)
O (0.7350, 0.3203, 0.4842)
O (0.2650, 0.6797, 0.5158)
O (0.2541, 0.0603, 0.8460)
O (0.6908, 0.4032, 0.8828)

Output
- M_tot: 0.00 μB/cell
- V: 12.25 Å³ per atom
- Electronic total energy: -7.52 eV/atom

No. 4
PmCO: optimized geometry, PBE.

abc: 6.3025 6.3025 3.5654
angles: 90.00 90.00 120.00
Last column: magnetic moment on the atom in μB.
Positions (direct):
C (0.1400, 0.0000, 0.0000)  0.09
C (0.0000, 0.1400, 0.0000)  0.09
C (0.8600, 0.8600, 0.0000)  0.08
O (0.6667, 0.3333, 0.0000)  0.01
O (0.3333, 0.6667, 0.0000)  0.01
O (0.0000, 0.0000, 0.5000)  0.06
Pm (0.6310, 0.0000, 0.5000)  0.15
Pm (0.3690, 0.3690, 0.5000)  0.14
Pm (0.0000, 0.6310, 0.5000)  0.18

Output
- M_tot: 1.37 μB/cell
- V: 13.63 Å³ per atom
- Electronic total energy: -6.86 eV/atom

No. 5
BaRe2Ag: optimized geometry, PBE.

abc: 4.8500 4.8500 4.8500
angles: 60.00 60.00 60.00
Last column: magnetic moment on the atom in μB.
Positions (direct):
Ag (0.0000, 0.0000, 0.0000)  0.01
Ba (0.2500, 0.2500, 0.2500)  0.00
Re (0.5000, 0.5000, 0.5000)  -0.01
Re (0.7500, 0.7500, 0.7500)  0.11

Output
- M_tot: 0.14 μB/cell
- V: 20.17 Å³ per atom
- Electronic total energy: -6.02 eV/atom

No. 6
BaTcOsAu: optimized geometry, PBE.

abc: 4.8499 4.8499 4.8499
angles: 60.00 60.00 60.00
Positions (direct):
Au (0.7500, 0.7500, 0.7500)
Ba (0.2500, 0.2500, 0.2500)
Os (0.0000, 0.0000, 0.0000)
Tc (0.5000, 0.5000, 0.5000)

Output
- M_tot: 3.35 μB/cell
- V: 20.17 Å³ per atom
- Electronic total energy: -5.33 eV/atom
- Energy above the most stable polymorph in this dataset: 267.0 meV/atom